12
Lattice="8.4113 0.0000 0.0000 -4.2056 7.2844 0.0000 0.0000 0.0000 9.4320" Properties=species:S:1:pos:R:3 comment="Cs3NaAg2Br6 (PBE, optimized geometry)" total_energy_ry_per_atom=-0.2086 magnetic_moment_mub_per_cell=0.000 n_ef_per_ev_atom=0.00 pbc="T T T"
Cs 0.0000 4.8563 6.0947
Cs 4.2056 2.4281 3.3374
Cs 0.0000 0.0000 0.0000
Na 0.0000 0.0000 4.7160
Ag 4.2056 2.4281 6.9616
Ag 0.0000 4.8563 2.4705
Br 2.2256 6.1412 2.7913
Br 0.0000 2.2863 2.7913
Br -2.2256 6.1412 2.7913
Br 4.2056 4.9980 6.6407
Br 1.9800 1.1432 6.6407
Br 6.4313 1.1432 6.6407

11
Lattice="7.4989 0.0000 0.0000 -3.7495 7.3702 0.0179 0.0000 -4.2288 7.5732" Properties=species:S:1:pos:R:3 comment="Cs2NaAg2Br6 (PBE, optimized geometry)" total_energy_ry_per_atom=-0.2008 magnetic_moment_mub_per_cell=0.000 n_ef_per_ev_atom=0.55 pbc="T T T"
Cs 3.7495 2.4922 1.6789
Cs 0.0000 0.6492 5.9122
Na 3.7495 -2.1144 3.7866
Ag 3.7495 3.0664 5.9989
Ag 0.0000 0.0751 1.5922
Br 3.7495 0.7307 4.9432
Br -1.7617 5.8067 1.4708
Br 1.9878 -2.6652 6.1203
Br 5.5112 -2.6652 6.1203
Br 1.7617 5.8067 1.4708
Br 0.0000 2.4108 2.6479

15
Lattice="-6.9164 3.4507 -1.2330 1.6636 -6.7962 -3.5083 -3.7473 -4.8137 7.5480" Properties=species:S:1:pos:R:3 comment="Cs3NaAg2Br9 (PBE, optimized geometry)" total_energy_ry_per_atom=-0.1948 magnetic_moment_mub_per_cell=0.000 n_ef_per_ev_atom=0.61 pbc="T T T"
Cs -3.6615 -6.5472 2.2154
Cs 0.0000 0.0000 0.0000
Cs -5.3386 -1.6120 0.5912
Na -1.8736 -2.4068 3.7740
Ag -1.7954 -4.1500 -1.5434
Ag -7.2047 -4.0092 4.3500
Br -8.0207 -1.5866 3.5448
Br -7.2063 -4.9138 1.8272
Br -4.6347 -3.2760 4.1484
Br -4.3654 -4.8831 -1.3418
Br -1.7938 -3.2453 0.9794
Br -0.9793 -6.5725 -0.7382
Br -3.4582 1.7254 -0.6165
Br 0.8318 -3.3981 -1.7542
Br -2.6264 -1.6727 -2.3707

12
Lattice="4.5180 0.0000 0.0000 0.0000 9.5442 -0.3315 0.0000 -2.8779 10.1150" Properties=species:S:1:pos:R:3 comment="CsNaAgBr3 (PBE, optimized geometry)" total_energy_ry_per_atom=-0.2128 magnetic_moment_mub_per_cell=0.000 n_ef_per_ev_atom=0.00 pbc="T T T"
Cs 1.1295 1.3415 2.2671
Cs 3.3885 5.3248 7.5165
Na 1.1295 5.8670 1.1014
Na 3.3885 0.7993 8.6822
Ag 1.1295 -0.8919 6.0037
Ag 3.3885 7.5583 3.7799
Br 3.3885 8.0510 1.1440
Br 1.1295 -1.3847 8.6395
Br 1.1295 6.1116 4.4609
Br 3.3885 0.5548 5.3227
Br 3.3885 3.9760 1.4829
Br 1.1295 2.6903 8.3006

8
Lattice="-6.9363 -1.6290 -2.4543 -1.1521 -5.5578 -4.6245 -4.0807 -5.0814 3.3360" Properties=species:S:1:pos:R:3 comment="CsNaAg2Br4 (PBE, optimized geometry)" total_energy_ry_per_atom=-0.2071 magnetic_moment_mub_per_cell=0.000 n_ef_per_ev_atom=0.00 pbc="T T T"
Cs 0.0000 0.0000 0.0000
Na -6.0845 -6.1341 -1.8714
Ag -2.8954 -3.8438 -0.8352
Ag -9.2736 -8.4243 -2.9076
Br -5.2787 -4.0622 -0.0480
Br -3.6073 -7.4349 -2.5331
Br -7.4952 -5.0067 -4.1087
Br -7.9568 -8.0325 -0.7957

16
Lattice="-1.5965 -8.7356 2.7301 7.1999 -2.9716 -5.0641 1.3542 6.6220 6.4254" Properties=species:S:1:pos:R:3 comment="Cs2NaAgBr4 (PBE, optimized geometry)" total_energy_ry_per_atom=-0.2106 magnetic_moment_mub_per_cell=0.000 n_ef_per_ev_atom=0.00 pbc="T T T"
Cs -0.7982 -4.3678 1.3651
Cs -0.1212 -1.0568 4.5778
Cs 0.6771 3.3110 3.2127
Cs 2.8016 -5.8536 -1.1670
Na 3.6000 -1.4858 -2.5320
Na 2.6805 -6.9104 3.4108
Ag 3.4788 -2.5426 2.0457
Ag -0.2423 -2.1136 9.1555
Br 6.3613 2.5244 2.9916
Br 1.7202 -4.0058 3.9166
Br 5.2373 -1.0794 0.1749
Br 0.5962 -7.6097 1.0999
Br 5.4207 -2.5420 4.6224
Br 4.7079 -5.2875 1.7875
Br 2.2497 0.2022 2.3039
Br 1.5368 -2.5432 -0.5309

12
Lattice="-6.6019 -1.2647 0.3371 0.2089 -3.7933 -7.1438 0.6740 -10.2494 -0.6242" Properties=species:S:1:pos:R:3 comment="CsNbAg2Br8 (PBE, optimized geometry)" total_energy_ry_per_atom=-0.2447 magnetic_moment_mub_per_cell=0.000 pbc="T T T"
Cs 0.3370 -5.1247 -0.3121
Nb 0.0000 0.0000 0.0000
Ag -2.8851 -8.8585 -2.8062
Ag -2.8339 -6.4490 -4.6248
Br -0.2064 -5.6744 -5.4216
Br -4.3035 -4.3462 -5.5021
Br -5.2305 -2.8495 -1.0685
Br -5.5126 -9.6331 -2.0094
Br -1.4155 -10.9613 -1.9289
Br -0.4885 -12.4580 -6.3625
Br -2.8135 -8.9718 -5.4971
Br -2.9055 -6.3357 -1.9338

10
Lattice="8.1691 0.0000 0.0000 4.0846 7.0747 0.0000 4.0846 2.3582 6.6701" Properties=species:S:1:pos:R:3 comment="Cs2NdAgBr6 (PBE, optimized geometry)" total_energy_ry_per_atom=-0.2573 magnetic_moment_mub_per_cell=0.000 n_ef_per_ev_atom=0.00 pbc="T T T"
Cs 12.2537 7.0747 5.0025
Cs 4.0846 2.3582 1.6675
Nd 8.1691 4.7164 3.3350
Ag 0.0000 0.0000 0.0000
Br 8.1691 2.3576 1.6670
Br 6.1263 3.5370 5.0030
Br 8.1691 7.0753 5.0030
Br 6.1263 5.8959 1.6670
Br 10.2120 3.5370 5.0030
Br 10.2120 5.8959 1.6670

One value per record, in order, for ΔE_f (raw): -1.20; -1.03; -1.01; -1.22; -1.00; -1.29; -0.83; -1.56 eV per atom.